A plane-wave DFT calculation with PBE+U was carried out for a relaxed structure of BaMnF2.

Computed properties:
M_tot = 4.69 μB per formula unit
E above lowest polymorph = 436 meV per atom
final energy = -20.470 eV per cell

Cell: 7.1321 7.1321 7.1321 Å, 31.69 31.69 31.69°
Element x y z (fractional)
Mn (0.5000, 0.5000, 0.5000)
Ba (0.0000, 0.0000, 0.0000)
F (0.8712, 0.8712, 0.8712)
F (0.1288, 0.1288, 0.1288)